[1]
A plane-wave DFT calculation with PBE was carried out for an optimized crystal structure of Ba7Na2Sn2.

Lattice parameters (Å, degrees): 8.8908 12.7294 9.9597 90.00 90.00 90.00
With the nearest neighbours (Å) after each atom.
Space group Cmmm (No. 65)
Unique sites:
Ba 0.0000 0.0000 0.0000 (multiplicity 2)  2 Na 4.30
Ba 0.0000 0.5000 0.3169 (multiplicity 4)  2 Sn 3.51, 5 Ba 3.65-3.88, 2 Na 3.77
Ba 0.2500 0.2500 0.3029 (multiplicity 8)  2 Sn 3.82, 3 Ba 3.88-3.93, 2 Na 3.91
Na 0.0000 0.3376 0.0000 (multiplicity 4)  6 Ba 3.77-3.91, 1 Na 4.13
Sn 0.1624 0.0000 0.5000 (multiplicity 4)  1 Sn 2.89


[2]
A plane-wave DFT calculation with PBE was carried out for an optimized crystal structure of BaNa2Sn2.

Lattice parameters (Å, degrees): 4.9744 4.9744 13.9795 90.00 90.00 90.00
With the nearest neighbours (Å) after each atom.
Space group I4/mmm (No. 139)
Unique sites:
Ba 0.0000 0.0000 0.0000 (multiplicity 2)  8 Sn 3.78
Na 0.0000 0.5000 0.2500 (multiplicity 4)  4 Sn 3.26, 4 Na 3.52
Sn 0.0000 0.0000 0.4005 (multiplicity 4)  1 Sn 2.78


[3]
A plane-wave DFT calculation with PBE was carried out for an optimized crystal structure of BaNa3Sn.

Lattice parameters (Å, degrees): 6.3243 6.3243 6.3243 90.00 90.00 90.00
With the nearest neighbours (Å) after each atom.
Space group Pm-3m (No. 221)
Unique sites:
Ba 0.0000 0.0000 0.0000 (multiplicity 1)  6 Na 3.16
Na 0.0000 0.0000 0.5000 (multiplicity 3)  2 Ba 3.16
Sn 0.5000 0.5000 0.5000 (multiplicity 1)  12 Na 4.47


[4]
A plane-wave DFT calculation with PBE was carried out for an optimized crystal structure of BaNa4Sn.

Lattice parameters (Å, degrees): 9.2935 9.2935 9.2935 90.00 90.00 90.00
With the nearest neighbours (Å) after each atom.
Space group F-43m (No. 216)
Unique sites:
Ba 0.0000 0.0000 0.0000 (multiplicity 4)  12 Na 3.86, 4 Sn 4.02
Na 0.1239 0.1239 0.3761 (multiplicity 16)  6 Na 3.26-3.31
Sn 0.2500 0.2500 0.7500 (multiplicity 4)  12 Na 3.85, 4 Ba 4.02


Number 1: formation energy from the elements -70.0 meV per atom, volume 51.236 A^3/atom. Number 2: formation energy from the elements -373.5 meV per atom, volume 34.591 A^3/atom. Number 3: formation energy from the elements 845.1 meV per atom, volume 50.591 A^3/atom. Number 4: formation energy from the elements -79.2 meV per atom, volume 33.445 A^3/atom.